Entry 1:
Density functional theory data (PBE) for a relaxed Sr2AlHg2 crystal.

Cell and atoms, written as POSCAR:
```
Sr2AlHg2
1.0
-0.241 3.240 2.735
-1.180 -2.682 3.073
8.165 -0.998 5.199
Sr Hg Al
2 2 1
direct
0.399 0.399 0.202
0.601 0.601 0.798
0.750 0.250 0.500
0.250 0.750 0.500
0.000 0.000 0.000
```

Summary:
Formation energy, eV per atom: -0.16
ΔE to the lowest computed polymorph, meV/atom: 253

***

Entry 2:
Density functional theory data (PBE) for a relaxed AsAuC2 crystal.

Cell and atoms, written as POSCAR:
```
AsAuC2
1.0
-4.383 2.256 -0.717
-0.922 -0.237 4.890
-0.754 4.872 2.632
As Au C
2 2 4
direct
0.500 0.500 0.000
0.250 0.750 0.500
0.000 0.000 0.000
0.750 0.250 0.500
0.585 0.125 0.250
0.165 0.625 0.250
0.375 0.415 0.750
0.875 0.835 0.750
```

Summary:
Formation energy, eV per atom: 1.31

***

Entry 3:
Density functional theory data (PBE) for a relaxed Ba2PmPbS5 crystal.

Cell and atoms, written as POSCAR:
```
Ba2PmPbS5
1.0
-0.002 1.231 -4.140
-2.233 -9.007 -0.423
-12.750 3.118 0.933
Ba Pm Pb S
4 2 2 10
direct
0.861 0.722 0.805
0.113 0.225 0.686
0.139 0.278 0.305
0.887 0.775 0.186
0.787 0.574 0.514
0.213 0.426 0.014
0.531 0.062 0.956
0.469 0.938 0.456
0.365 0.730 0.998
0.682 0.363 0.874
0.491 0.981 0.764
0.284 0.569 0.653
0.945 0.890 0.573
0.635 0.270 0.498
0.318 0.637 0.374
0.509 0.019 0.264
0.716 0.431 0.153
0.055 0.110 0.073
```

Summary:
Formation energy from raw total energies, eV per atom: -1.567

***

Entry 4:
Density functional theory data (PBE) for a relaxed RbHfRu2Br crystal.

Cell and atoms, written as POSCAR:
```
RbHfRu2Br
1.0
4.813 0.000 0.000
0.000 8.683 0.000
0.000 0.000 4.813
Ru Hf Br Rb
2 1 1 1
direct
0.000 0.000 0.500
0.500 0.000 0.000
0.000 0.000 0.000
0.500 0.500 0.500
0.000 0.500 0.000
```

Summary:
Formation energy from raw total energies, eV per atom: 0.915

***

| no. | VASP energy (eV/atom) | calculated volume (Å³/atom) |
| --- | --- | --- |
| 1 | -1.7061 | 33.383 |
| 2 | -5.2856 | 13.459 |
| 3 | -5.2273 | 28.527 |
| 4 | -5.3139 | 40.226 |